No. 1
TbPr5Dy2 (PBE, optimized geometry); DFT total energy = -0.3269 Ry per atom; symmetry = C2/c; ΔH_f (0 K) = 207.0 kJ/mol of formula units
1.0
3.2475 -13.1394 0.0000
3.2475 13.1394 0.0000
-0.7598 0.0000 6.5583
Tb Pr Dy
2 10 4
Cartesian
2.6777 11.9703 4.9187 Tb
3.0576 -11.9703 1.6396 Tb
0.8597 4.8663 3.2999 Pr
0.9535 2.5439 5.3507 Pr
1.3334 -2.5439 2.0715 Pr
3.0576 3.3037 1.6396 Pr
1.2395 -4.8663 0.0208 Pr
4.4957 4.8663 6.5375 Pr
2.6777 -3.3037 4.9187 Pr
4.4019 2.5439 4.4867 Pr
4.7818 -2.5439 1.2076 Pr
4.8756 -4.8663 3.2583 Pr
1.6237 6.5697 0.0000 Dy
1.2439 -6.5697 3.2791 Dy
3.2475 0.0000 0.0000 Dy
2.8676 0.0000 3.2791 Dy

=====

No. 2
Cs2Ti3TlF12 (PBE, optimized geometry); DFT total energy = -0.4328 Ry per atom; symmetry = R-3m
1.0
3.8786 2.2393 6.3619
-3.8786 2.2393 6.3619
0.0000 -4.4786 6.3619
Cs Ti Tl F
2 3 1 12
Cartesian
0.0000 0.0000 2.1826 Cs
0.0000 0.0000 16.9031 Cs
-1.9393 -1.1196 6.3619 Ti
-1.9393 1.1196 12.7238 Ti
0.0000 2.2393 6.3619 Ti
0.0000 0.0000 9.5428 Tl
-2.1758 -1.2562 8.2488 F
0.0000 -1.7291 6.6086 F
-1.4974 0.8645 6.6086 F
0.0000 -2.5124 10.8369 F
-2.1758 1.2562 10.8369 F
-1.4974 -0.8645 12.4771 F
1.4974 0.8645 6.6086 F
2.1758 -1.2562 8.2488 F
0.0000 2.5124 8.2488 F
1.4974 -0.8645 12.4771 F
0.0000 1.7291 12.4771 F
2.1758 1.2562 10.8369 F

=====

No. 3
Sr2H4Ru (PBE, optimized geometry); DFT total energy = -0.3035 Ry per atom; symmetry = I4/mmm
1.0
-1.8719 1.8719 7.8419
1.8719 -1.8719 7.8419
1.8719 1.8719 -7.8419
Sr H Ru
2 4 1
Cartesian
0.0000 0.0000 1.8702 Sr
0.0000 0.0000 13.8136 Sr
1.8719 0.0000 0.0000 H
0.0000 0.0000 6.0886 H
0.0000 1.8719 0.0000 H
0.0000 0.0000 9.5952 H
0.0000 0.0000 7.8419 Ru

=====

Number 1: volume 34.98 Å³ per atom. Number 2: volume 18.42 Å³ per atom. Number 3: volume 15.70 Å³ per atom.